Below is crystalline RbDyScSe3 at its relaxed geometry, with properties calculated at the GGA-PBE level.

Results
**Density of states at the Fermi level**: 0.514 states/eV/atom
**ΔE_f (raw)**: -1573 meV/atom
**Calculated density**: 4.4 Mg/m³

abc: 4.374 9.278 10.326
angles: 109.21 90.00 90.00
Positions (direct):
1 Rb 0.250 0.212 0.228
2 Rb 0.750 0.788 0.772
3 Dy 0.250 0.663 0.132
4 Dy 0.750 0.337 0.868
5 Sc 0.250 0.088 0.610
6 Sc 0.750 0.912 0.390
7 Se 0.750 0.878 0.133
8 Se 0.250 0.122 0.867
9 Se 0.250 0.792 0.447
10 Se 0.750 0.208 0.553
11 Se 0.750 0.469 0.155
12 Se 0.250 0.531 0.845

Below is crystalline Rb2DyScTe4 at its relaxed geometry, with properties calculated at the GGA-PBE level.

Results
**ΔE_f (raw)**: -1304 meV/atom
**Calculated density**: 5.1 Mg/m³

abc: 4.437 7.686 8.897
angles: 106.74 90.00 90.00
Positions (direct):
1 Rb 0.500 0.000 0.500
2 Rb 0.000 0.500 0.500
3 Dy 0.500 0.500 0.000
4 Sc 0.000 0.000 0.000
5 Te 0.500 0.221 0.192
6 Te 0.500 0.779 0.808
7 Te 0.000 0.258 0.803
8 Te 0.000 0.742 0.197

Below is crystalline Rb4Dy3ScTe8 at its relaxed geometry, with properties calculated at the GGA-PBE level.

Results
**ΔE_f (raw)**: -1343 meV/atom
**Calculated density**: 5.3 Mg/m³

abc: 8.966 9.983 8.966
angles: 116.69 120.00 90.00
Positions (direct):
1 Rb 0.500 0.000 0.000
2 Rb 0.500 0.000 0.500
3 Rb 0.000 0.000 0.000
4 Rb 0.000 0.000 0.500
5 Dy 0.500 0.500 0.000
6 Dy 0.500 0.500 0.500
7 Dy 0.000 0.500 0.500
8 Sc 0.000 0.500 0.000
9 Te 0.227 0.695 0.968
10 Te 0.227 0.695 0.454
11 Te 0.266 0.299 0.533
12 Te 0.742 0.695 0.968
13 Te 0.258 0.305 0.032
14 Te 0.734 0.701 0.467
15 Te 0.773 0.305 0.546
16 Te 0.773 0.305 0.032

Below is crystalline Rb3DySc3Te8 at its relaxed geometry, with properties calculated at the GGA-PBE level.

Results
**Density of states at the Fermi level**: 0.339 states/eV/atom
**ΔE_f (raw)**: -1220 meV/atom
**Calculated density**: 4.8 Mg/m³

abc: 8.490 8.490 10.056
angles: 114.95 90.00 120.00
Positions (direct):
1 Rb 0.000 0.000 0.000
2 Rb 0.000 0.500 0.000
3 Rb 0.500 0.500 0.000
4 Dy 0.000 0.000 0.500
5 Sc 0.500 0.000 0.500
6 Sc 0.500 0.500 0.500
7 Sc 0.000 0.500 0.500
8 Te 0.270 0.540 0.310
9 Te 0.730 0.460 0.690
10 Te 0.761 0.521 0.304
11 Te 0.239 0.479 0.696
12 Te 0.761 0.043 0.304
13 Te 0.239 0.957 0.696
14 Te 0.283 0.043 0.304
15 Te 0.717 0.957 0.696